Density functional theory data (GGA+U) for crystalline YMnFeO5 at its relaxed geometry.

Calculated values
V ... 368.7 Å³ per cell
Raw total energy ... -7.689 eV per atom

Lattice parameters (Å, degrees): 7.359 8.634 5.803 90.00 90.00 90.00
Space group Pbam (No. 55)
Inequivalent atoms, fractional coordinates:
Y1 0.133 0.169 0.000 (multiplicity 4)
Mn1 0.000 0.500 0.249 (multiplicity 4)
Fe1 0.107 0.854 0.500 (multiplicity 4)
O1 0.000 0.000 0.267 (multiplicity 4)
O2 0.107 0.705 0.241 (multiplicity 8)
O3 0.150 0.430 0.500 (multiplicity 4)
O4 0.161 0.442 0.000 (multiplicity 4)